Material: Ce3Ge2Rh4
Method: DFT, GGA-PBE
State: optimized geometry

Cell and atoms, written as extended XYZ:
```
9
Lattice="-3.284 0.887 -2.240 2.249 -5.088 -1.609 -5.175 -0.207 7.505" Properties=species:S:1:pos:R:3 pbc="T T T"
Ce -5.099 -0.934 3.403
Ce 0.000 0.000 0.000
Ce -1.111 -3.475 0.253
Ge -3.123 -1.141 0.424
Ge -3.086 -3.267 3.232
Rh -1.777 -1.488 -1.687
Rh -4.433 -2.920 5.343
Rh -4.150 -3.481 1.003
Rh -2.059 -0.927 2.652
```

Values from the calculation:
- Uncorrected energy: -63.7 eV/cell
- E_form: -801 meV per atom
- Crystal system: monoclinic